one | Density functional theory data (PBE-GGA) for a relaxed structure of Pm8PdRh2.

The value obtained for the calculated volume is 29.29 Å³ per atom. For the total moment, the calculation gives 0.000 μB per formula unit. The density comes out at 7.59 Mg/m³.

It has space group Cm (No. 8), with a = 8.422 Å, b = 12.800 Å, c = 6.323 Å, α = 90.00°, β = 108.99° and γ = 90.00°. Symmetry generates all atoms from Pm at (0.000, 0.000, 0.000), Pm at (0.078, 0.368, 0.802), Pm at (0.151, 0.132, 0.582), Pm at (0.223, 0.500, 0.375), Pm at (0.366, 0.213, 0.190), Pd at (0.357, 0.000, 0.005) and Rh at (0.363, 0.312, 0.686).

=====

two | Density functional theory data (PBE-GGA) for a relaxed structure of Pm8PdRh2.

The value obtained for the calculated volume is 27.97 Å³ per atom. For the total moment, the calculation gives 0.000 μB per formula unit. The density comes out at 7.95 Mg/m³.

It has space group C2/m (No. 12), with a = 17.683 Å, b = 5.122 Å, c = 6.902 Å, α = 90.00°, β = 100.17° and γ = 90.00°. Symmetry generates all atoms from Pm at (0.038, 0.000, 0.273), Pm at (0.089, 0.500, 0.943), Pm at (0.168, 0.500, 0.466), Pm at (0.200, 0.000, 0.836), Pd at (0.000, 0.500, 0.500) and Rh at (0.205, 0.000, 0.240).

=====

The relative energies come out as one 0.062; two 0.000, with values in eV/atom.

=====

one | Density functional theory data (PBE-GGA) for a relaxed structure of TbPmPdRh.

The value obtained for the calculated volume is 22.64 Å³ per atom. For the total moment, the calculation gives 0.000 μB per formula unit. The density comes out at 9.41 Mg/m³.

It has space group Amm2 (No. 38), with a = 4.493 Å, b = 3.775 Å, c = 10.675 Å, α = 90.00°, β = 90.00° and γ = 90.00°. Symmetry generates all atoms from Tb at (0.000, 0.000, 0.000), Pm at (0.500, 0.000, 0.722), Pd at (0.000, 0.000, 0.280) and Rh at (0.500, 0.000, 0.455).

=====

two | Density functional theory data (PBE-GGA) for a relaxed structure of TbPmPdRh.

The value obtained for the calculated volume is 21.79 Å³ per atom. For the total moment, the calculation gives 0.000 μB per formula unit. The density comes out at 9.78 Mg/m³.

It has space group F-43m (No. 216), with a = 7.039 Å, b = 7.039 Å, c = 7.039 Å, α = 90.00°, β = 90.00° and γ = 90.00°. Symmetry generates all atoms from Tb at (0.000, 0.000, 0.000), Pm at (0.000, 0.000, 0.500), Pd at (0.250, 0.250, 0.750) and Rh at (0.250, 0.250, 0.250).

=====

The relative energies come out as one 0.000; two 0.029, with values in eV/atom.

=====

one | Density functional theory data (PBE-GGA) for a relaxed structure of PmTmPdRh.

The value obtained for the calculated volume is 22.12 Å³ per atom. For the total moment, the calculation gives 0.000 μB per formula unit. The density comes out at 9.82 Mg/m³.

It has space group Amm2 (No. 38), with a = 4.470 Å, b = 3.728 Å, c = 10.619 Å, α = 90.00°, β = 90.00° and γ = 90.00°. Symmetry generates all atoms from Pm at (0.000, 0.000, 0.000), Tm at (0.500, 0.000, 0.721), Pd at (0.500, 0.000, 0.440) and Rh at (0.000, 0.000, 0.266).

=====

two | Density functional theory data (PBE-GGA) for a relaxed structure of PmTmPdRh.

The value obtained for the calculated volume is 21.28 Å³ per atom. For the total moment, the calculation gives 0.000 μB per formula unit. The density comes out at 10.21 Mg/m³.

It has space group F-43m (No. 216), with a = 6.983 Å, b = 6.983 Å, c = 6.983 Å, α = 90.00°, β = 90.00° and γ = 90.00°. Symmetry generates all atoms from Pm at (0.000, 0.000, 0.000), Tm at (0.000, 0.000, 0.500), Pd at (0.250, 0.250, 0.250) and Rh at (0.250, 0.250, 0.750).

=====

The relative energies come out as one 0.000; two 0.014, with values in eV/atom.

=====

one | Density functional theory data (PBE-GGA) for a relaxed structure of Pm8PdRu2.

The value obtained for the calculated volume is 29.08 Å³ per atom. For the total moment, the calculation gives 0.000 μB per formula unit. The density comes out at 7.62 Mg/m³.

It has space group Cm (No. 8), with a = 8.405 Å, b = 12.902 Å, c = 6.264 Å, α = 90.00°, β = 109.63° and γ = 90.00°. Symmetry generates all atoms from Pm at (0.000, 0.000, 0.000), Pm at (0.075, 0.368, 0.793), Pm at (0.151, 0.132, 0.593), Pm at (0.227, 0.500, 0.384), Pm at (0.365, 0.216, 0.191), Pd at (0.363, 0.000, 0.028) and Ru at (0.362, 0.309, 0.692).

=====

two | Density functional theory data (PBE-GGA) for a relaxed structure of Pm8PdRu2.

The value obtained for the calculated volume is 27.59 Å³ per atom. For the total moment, the calculation gives 0.000 μB per formula unit. The density comes out at 8.04 Mg/m³.

It has space group C2/m (No. 12), with a = 17.913 Å, b = 5.044 Å, c = 6.976 Å, α = 90.00°, β = 105.62° and γ = 90.00°. Symmetry generates all atoms from Pm at (0.035, 0.000, 0.282), Pm at (0.096, 0.500, 0.960), Pm at (0.171, 0.500, 0.470), Pm at (0.202, 0.000, 0.819), Pd at (0.000, 0.500, 0.500) and Ru at (0.189, 0.000, 0.212).

=====

The relative energies come out as one 0.036; two 0.000, with values in eV/atom.

=====

one | Density functional theory data (PBE-GGA) for a relaxed structure of Pm3Pd2Ru.

The value obtained for the calculated volume is 22.60 Å³ per atom. For the total moment, the calculation gives 0.000 μB per formula unit. The density comes out at 9.17 Mg/m³.

It has space group Cmmm (No. 65), with a = 5.020 Å, b = 14.984 Å, c = 7.210 Å, α = 90.00°, β = 90.00° and γ = 90.00°. Symmetry generates all atoms from Pm at (0.000, 0.000, 0.243), Pm at (0.000, 0.331, 0.241), Pd at (0.000, 0.166, 0.500), Pd at (0.000, 0.500, 0.000), Pd at (0.000, 0.500, 0.500) and Ru at (0.000, 0.166, 0.000).

=====

two | Density functional theory data (PBE-GGA) for a relaxed structure of Pm3Pd2Ru.

The value obtained for the calculated volume is 22.61 Å³ per atom. For the total moment, the calculation gives 0.000 μB per formula unit. The density comes out at 9.17 Mg/m³.

It has space group P4/mmm (No. 123), with a = 3.520 Å, b = 3.520 Å, c = 10.950 Å, α = 90.00°, β = 90.00° and γ = 90.00°. Symmetry generates all atoms from Pm at (0.000, 0.000, 0.000), Pm at (0.000, 0.000, 0.342), Pd at (0.500, 0.500, 0.166) and Ru at (0.500, 0.500, 0.500).

=====

The relative energies come out as one 0.011; two 0.000, with values in eV/atom.

=====

one | Density functional theory data (PBE-GGA) for a relaxed structure of PmYPdRu.

The value obtained for the calculated volume is 21.46 Å³ per atom. For the total moment, the calculation gives 0.000 μB per formula unit. The density comes out at 8.54 Mg/m³.

It has space group F-43m (No. 216), with a = 7.003 Å, b = 7.003 Å, c = 7.003 Å, α = 90.00°, β = 90.00° and γ = 90.00°. Symmetry generates all atoms from Pm at (0.000, 0.000, 0.000), Y at (0.000, 0.000, 0.500), Pd at (0.250, 0.250, 0.250) and Ru at (0.250, 0.250, 0.750).

=====

two | Density functional theory data (PBE-GGA) for a relaxed structure of PmYPdRu.

The value obtained for the calculated volume is 21.53 Å³ per atom. For the total moment, the calculation gives 0.000 μB per formula unit. The density comes out at 8.51 Mg/m³.

It has space group P4mm (No. 99), with a = 3.472 Å, b = 3.472 Å, c = 7.146 Å, α = 90.00°, β = 90.00° and γ = 90.00°. Symmetry generates all atoms from Pm at (0.000, 0.000, 0.000), Y at (0.000, 0.000, 0.479), Pd at (0.500, 0.500, 0.728) and Ru at (0.500, 0.500, 0.244).

=====

The relative energies come out as one 0.037; two 0.000, with values in eV/atom.